# 1
This record from Alexandria via LeMat-Bulk describes an optimized crystal structure of Sr2GdCl. The functional is PBE-GGA.

The structure in CIF format:
```
data_Sr2GdCl
_cell_length_a 3.863
_cell_length_b 3.863
_cell_length_c 11.861
_cell_angle_alpha 80.63
_cell_angle_beta 80.63
_cell_angle_gamma 60.00
_space_group_name_H-M_alt 'P 1'
_space_group_IT_number 1
loop_
_space_group_symop_operation_xyz
'x,y,z'
loop_
_atom_site_label
_atom_site_fract_x
_atom_site_fract_y
_atom_site_fract_z
Cl1 0.500 0.500 0.500
Sr1 0.896 0.896 0.311
Sr2 0.104 0.104 0.689
Gd1 0.000 0.000 0.000
```

Results
The space-group type is R-3m (166). The uncorrected formation energy is -0.5355 eV per atom. As for the crystal system: trigonal. The value obtained for the spin magnetization is 1.8961 μB per atom. Its mass density is 4.1 g/cm³.

=====

# 2
This record from Alexandria via LeMat-Bulk describes an optimized crystal structure of Th4Se5N. The functional is PBE-GGA.

The structure in CIF format:
```
data_Th4Se5N
_cell_length_a 4.073
_cell_length_b 7.949
_cell_length_c 9.134
_cell_angle_alpha 103.31
_cell_angle_beta 102.88
_cell_angle_gamma 90.00
_space_group_name_H-M_alt 'P 1'
_space_group_IT_number 1
loop_
_space_group_symop_operation_xyz
'x,y,z'
loop_
_atom_site_label
_atom_site_fract_x
_atom_site_fract_y
_atom_site_fract_z
N1 0.500 0.000 0.000
Th1 0.654 0.086 0.307
Th2 0.998 0.223 0.997
Th3 0.346 0.914 0.693
Th4 0.002 0.777 0.003
Se1 0.828 0.173 0.656
Se2 0.500 0.500 0.000
Se3 0.165 0.346 0.329
Se4 0.172 0.827 0.344
Se5 0.835 0.654 0.671
```

Results
The space-group type is C2/m (12). The uncorrected formation energy is -1.5389 eV per atom. As for the crystal system: monoclinic. The value obtained for the spin magnetization is 0.0000 μB per atom. Its mass density is 7.9 g/cm³.

=====

# 3
This record from Alexandria via LeMat-Bulk describes an optimized crystal structure of Tb3HoEr3Se8. The functional is PBE-GGA.

The structure in CIF format:
```
data_Tb3HoEr3Se8
_cell_length_a 8.100
_cell_length_b 8.100
_cell_length_c 8.110
_cell_angle_alpha 119.96
_cell_angle_beta 90.00
_cell_angle_gamma 120.00
_space_group_name_H-M_alt 'P 1'
_space_group_IT_number 1
loop_
_space_group_symop_operation_xyz
'x,y,z'
loop_
_atom_site_label
_atom_site_fract_x
_atom_site_fract_y
_atom_site_fract_z
Er1 0.000 0.500 0.500
Er2 0.500 0.500 0.500
Er3 0.500 0.000 0.500
Se1 0.252 0.503 0.255
Se2 0.253 0.996 0.750
Se3 0.256 0.004 0.250
Se4 0.748 0.497 0.745
Se5 0.747 0.004 0.250
Se6 0.744 0.996 0.750
Se7 0.747 0.494 0.251
Se8 0.253 0.506 0.749
Tb1 0.000 0.000 0.000
Tb2 0.000 0.500 0.000
Tb3 0.500 0.500 0.000
Ho1 0.000 0.000 0.500
```

Results
The space-group type is R-3m (166). The uncorrected formation energy is -1.8228 eV per atom. As for the crystal system: trigonal. The value obtained for the spin magnetization is 0.0000 μB per atom. Its mass density is 7.8 g/cm³.

=====

# 4
This record from Alexandria via LeMat-Bulk describes an optimized crystal structure of TbDySn. The functional is PBE-GGA.

The structure in CIF format:
```
data_TbDySn
_cell_length_a 3.329
_cell_length_b 3.329
_cell_length_c 9.080
_cell_angle_alpha 100.56
_cell_angle_beta 100.56
_cell_angle_gamma 90.00
_space_group_name_H-M_alt 'P 1'
_space_group_IT_number 1
loop_
_space_group_symop_operation_xyz
'x,y,z'
loop_
_atom_site_label
_atom_site_fract_x
_atom_site_fract_y
_atom_site_fract_z
Sn1 0.133 0.133 0.266
Tb1 0.760 0.760 0.520
Dy1 0.957 0.957 0.915
```

Results
The calculation puts the energy above the most stable polymorph in this dataset at 17.145 kcal/mol of atoms. The value obtained for the formation energy from the elements is 0.163 eV per atom. The space-group type is I4mm (107). As for the crystal system: tetragonal. The value obtained for the spin magnetization is 0.1262 μB per atom. Its mass density is 7.5 g/cm³.

=====

# 5
This record from Alexandria via LeMat-Bulk describes an optimized crystal structure of Sm3Dy2YP6. The functional is PBE-GGA.

The structure in CIF format:
```
data_Sm3Dy2YP6
_cell_length_a 7.030
_cell_length_b 7.030
_cell_length_c 7.029
_cell_angle_alpha 99.59
_cell_angle_beta 99.59
_cell_angle_gamma 119.99
_space_group_name_H-M_alt 'P 1'
_space_group_IT_number 1
loop_
_space_group_symop_operation_xyz
'x,y,z'
loop_
_atom_site_label
_atom_site_fract_x
_atom_site_fract_y
_atom_site_fract_z
P1 0.585 0.919 0.756
P2 0.252 0.252 0.756
P3 0.415 0.081 0.244
P4 0.748 0.748 0.244
P5 0.081 0.415 0.244
P6 0.919 0.585 0.756
Dy1 0.333 0.667 0.000
Dy2 0.667 0.333 0.000
Y1 0.000 0.000 0.000
Sm1 0.167 0.833 0.500
Sm2 0.833 0.167 0.500
Sm3 0.500 0.500 0.500
```

Results
The value obtained for the formation energy from the elements is -1.593 eV per atom. The space-group type is C2/m (12). As for the crystal system: monoclinic. The value obtained for the spin magnetization is 0.0000 μB per atom. Its mass density is 6.2 g/cm³.

=====

# 6
This record from Alexandria via LeMat-Bulk describes an optimized crystal structure of KCdPt3. The functional is PBE-GGA.

The structure in CIF format:
```
data_KCdPt3
_cell_length_a 5.097
_cell_length_b 5.097
_cell_length_c 5.097
_cell_angle_alpha 90.00
_cell_angle_beta 90.00
_cell_angle_gamma 90.00
_space_group_name_H-M_alt 'P 1'
_space_group_IT_number 1
loop_
_space_group_symop_operation_xyz
'x,y,z'
loop_
_atom_site_label
_atom_site_fract_x
_atom_site_fract_y
_atom_site_fract_z
Pt1 0.000 0.500 0.000
Pt2 0.500 0.000 0.000
Pt3 0.000 0.000 0.500
K1 0.500 0.500 0.500
Cd1 0.000 0.000 0.000
```

Results
The calculation puts the energy above the most stable polymorph in this dataset at 0.000 kcal/mol of atoms. The value obtained for the formation energy from the elements is 0.796 eV per atom. The space-group type is Pm-3m (221). As for the crystal system: cubic. The value obtained for the spin magnetization is 0.0000 μB per atom. Its mass density is 9.2 g/cm³.

=====

# 7
This record from Alexandria via LeMat-Bulk describes an optimized crystal structure of CaCo2Mo. The functional is PBE-GGA.

The structure in CIF format:
```
data_CaCo2Mo
_cell_length_a 5.130
_cell_length_b 5.130
_cell_length_c 5.130
_cell_angle_alpha 137.68
_cell_angle_beta 137.68
_cell_angle_gamma 61.40
_space_group_name_H-M_alt 'P 1'
_space_group_IT_number 1
loop_
_space_group_symop_operation_xyz
'x,y,z'
loop_
_atom_site_label
_atom_site_fract_x
_atom_site_fract_y
_atom_site_fract_z
Co1 0.000 0.000 0.000
Co2 0.250 0.750 0.500
Ca1 0.750 0.250 0.500
Mo1 0.500 0.500 0.000
```

Results
The calculation puts the energy above the most stable polymorph in this dataset at 11.300 kcal/mol of atoms. The value obtained for the formation energy from the elements is 0.708 eV per atom. The space-group type is I-4m2 (119). As for the crystal system: tetragonal. The value obtained for the spin magnetization is 0.0000 μB per atom. Its mass density is 7.0 g/cm³.

=====

# 8
This record from Alexandria via LeMat-Bulk describes an optimized crystal structure of SrGe2Te2. The functional is PBE-GGA.

The structure in CIF format:
```
data_SrGe2Te2
_cell_length_a 4.020
_cell_length_b 4.020
_cell_length_c 9.389
_cell_angle_alpha 77.64
_cell_angle_beta 77.64
_cell_angle_gamma 90.00
_space_group_name_H-M_alt 'P 1'
_space_group_IT_number 1
loop_
_space_group_symop_operation_xyz
'x,y,z'
loop_
_atom_site_label
_atom_site_fract_x
_atom_site_fract_y
_atom_site_fract_z
Sr1 0.000 0.000 0.000
Te1 0.608 0.608 0.785
Te2 0.392 0.392 0.215
Ge1 0.750 0.250 0.500
Ge2 0.250 0.750 0.500
```

Results
The calculation puts the energy above the most stable polymorph in this dataset at 1.417 kcal/mol of atoms. The space-group type is I4/mmm (139). The uncorrected formation energy is -0.3987 eV per atom. As for the crystal system: tetragonal. The value obtained for the spin magnetization is 0.0000 μB per atom. Its mass density is 5.6 g/cm³.

=====

# 9
This record from Alexandria via LeMat-Bulk describes an optimized crystal structure of Rb4MgBr6. The functional is PBE-GGA.

The structure in CIF format:
```
data_Rb4MgBr6
_cell_length_a 9.410
_cell_length_b 9.410
_cell_length_c 9.410
_cell_angle_alpha 90.77
_cell_angle_beta 90.77
_cell_angle_gamma 89.23
_space_group_name_H-M_alt 'P 1'
_space_group_IT_number 1
loop_
_space_group_symop_operation_xyz
'x,y,z'
loop_
_atom_site_label
_atom_site_fract_x
_atom_site_fract_y
_atom_site_fract_z
Rb1 0.624 0.876 0.750
Rb2 0.750 0.376 0.876
Rb3 0.124 0.750 0.624
Rb4 0.376 0.124 0.250
Rb5 0.876 0.250 0.376
Rb6 0.750 0.750 0.250
Rb7 0.250 0.624 0.124
Rb8 0.250 0.250 0.750
Mg1 0.000 0.000 0.000
Mg2 0.500 0.500 0.500
Br1 0.778 0.568 0.559
Br2 0.722 0.059 0.068
Br3 0.932 0.722 0.941
Br4 0.432 0.559 0.778
Br5 0.568 0.441 0.222
Br6 0.068 0.278 0.059
Br7 0.059 0.932 0.278
Br8 0.941 0.068 0.722
Br9 0.559 0.222 0.568
Br10 0.441 0.778 0.432
Br11 0.222 0.432 0.441
Br12 0.278 0.941 0.932
```

Results
The space-group type is R-3c (167). The uncorrected formation energy is -1.6820 eV per atom. As for the crystal system: trigonal. The value obtained for the spin magnetization is 0.0000 μB per atom. Its mass density is 3.4 g/cm³.

=====

# 10
This record from Alexandria via LeMat-Bulk describes an optimized crystal structure of Ga2SnSe. The functional is PBE-GGA.

The structure in CIF format:
```
data_Ga2SnSe
_cell_length_a 6.061
_cell_length_b 6.061
_cell_length_c 7.471
_cell_angle_alpha 66.07
_cell_angle_beta 66.07
_cell_angle_gamma 90.00
_space_group_name_H-M_alt 'P 1'
_space_group_IT_number 1
loop_
_space_group_symop_operation_xyz
'x,y,z'
loop_
_atom_site_label
_atom_site_fract_x
_atom_site_fract_y
_atom_site_fract_z
Se1 0.500 0.500 0.000
Se2 0.250 0.750 0.500
Sn1 0.000 0.000 0.000
Sn2 0.750 0.250 0.500
Ga1 0.375 0.380 0.750
Ga2 0.620 0.125 0.250
Ga3 0.130 0.625 0.250
Ga4 0.875 0.870 0.750
```

Results
The calculation puts the energy above the most stable polymorph in this dataset at 0.000 kcal/mol of atoms. The space-group type is I-42d (122). The uncorrected formation energy is -0.2276 eV per atom. As for the crystal system: tetragonal. The value obtained for the spin magnetization is 0.0000 μB per atom. Its mass density is 5.0 g/cm³.

=====

# 11
This record from Alexandria via LeMat-Bulk describes an optimized crystal structure of La2MgPd3. The functional is PBE-GGA.

The structure in CIF format:
```
data_La2MgPd3
_cell_length_a 4.520
_cell_length_b 5.711
_cell_length_c 6.673
_cell_angle_alpha 115.33
_cell_angle_beta 109.79
_cell_angle_gamma 90.00
_space_group_name_H-M_alt 'P 1'
_space_group_IT_number 1
loop_
_space_group_symop_operation_xyz
'x,y,z'
loop_
_atom_site_label
_atom_site_fract_x
_atom_site_fract_y
_atom_site_fract_z
La1 0.323 0.823 0.646
La2 0.677 0.177 0.354
Mg1 0.000 0.500 0.000
Pd1 0.370 0.370 0.740
Pd2 0.630 0.630 0.260
Pd3 0.000 0.000 0.000
```

Results
The value obtained for the formation energy from the elements is -0.657 eV per atom. The space-group type is Immm (71). As for the crystal system: orthorhombic. The value obtained for the spin magnetization is 0.0000 μB per atom. Its mass density is 7.1 g/cm³.

=====

# 12
This record from Alexandria via LeMat-Bulk describes an optimized crystal structure of LiCa2Ir. The functional is PBE-GGA.

The structure in CIF format:
```
data_LiCa2Ir
_cell_length_a 3.452
_cell_length_b 3.452
_cell_length_c 8.450
_cell_angle_alpha 90.00
_cell_angle_beta 90.00
_cell_angle_gamma 89.99
_space_group_name_H-M_alt 'P 1'
_space_group_IT_number 1
loop_
_space_group_symop_operation_xyz
'x,y,z'
loop_
_atom_site_label
_atom_site_fract_x
_atom_site_fract_y
_atom_site_fract_z
Ca1 0.000 0.000 0.447
Ca2 0.000 0.000 0.053
Ir1 0.500 0.500 0.250
Li1 0.500 0.500 0.750
```

Results
The calculation puts the energy above the most stable polymorph in this dataset at 1.415 kcal/mol of atoms. The value obtained for the formation energy from the elements is -0.166 eV per atom. The space-group type is P4/mmm (123). As for the crystal system: tetragonal. The value obtained for the spin magnetization is 0.0000 μB per atom. Its mass density is 4.6 g/cm³.